Entry 1
Below is a geometry-optimized Ga2AgHgRu structure, with properties calculated at the PBE-GGA level.

Results
- SG: P4/mmm, No. 123
- ρ: 7.55 g/cm³

Cell and atoms, written as extended XYZ:
```
5
Lattice="4.790 0.000 0.000 0.000 4.790 0.000 0.000 0.000 5.262" Properties=species:S:1:pos:R:3 pbc="T T T"
Ga 0.000 2.395 0.000
Ga 2.395 0.000 0.000
Ag 0.000 0.000 0.000
Hg 2.395 2.395 2.631
Ru 0.000 0.000 2.631
```

---

Entry 2
Below is a geometry-optimized Ga2AgHgRu structure, with properties calculated at the PBE-GGA level.

Results
- SG: P4/mmm, No. 123
- ρ: 7.67 g/cm³

Cell and atoms, written as extended XYZ:
```
5
Lattice="4.737 0.000 0.000 0.000 4.737 0.000 0.000 0.000 5.294" Properties=species:S:1:pos:R:3 pbc="T T T"
Ga 0.000 2.368 0.000
Ga 2.368 0.000 0.000
Ag 0.000 0.000 2.647
Hg 2.368 2.368 2.647
Ru 2.368 2.368 0.000
```

---

The energy of each structure relative to the most stable one, in eV/atom, is as follows: entry 1 0.637; entry 2 0.000.

---

Entry 1
Below is a geometry-optimized SrGaAg2Hg structure, with properties calculated at the PBE-GGA level.

Results
- SG: P4/mmm, No. 123
- ρ: 7.18 g/cm³

Cell and atoms, written as extended XYZ:
```
5
Lattice="5.021 0.000 0.000 0.000 5.021 0.000 0.000 0.000 5.264" Properties=species:S:1:pos:R:3 pbc="T T T"
Sr 0.000 0.000 0.000
Ga 2.510 2.510 2.632
Ag 0.000 2.510 2.632
Ag 2.510 0.000 2.632
Hg 2.510 2.510 0.000
```

---

Entry 2
Below is a geometry-optimized SrGaAg2Hg structure, with properties calculated at the PBE-GGA level.

Results
- SG: Imm2, No. 44
- ρ: 7.80 g/cm³

Cell and atoms, written as extended XYZ:
```
5
Lattice="-2.188 2.216 6.297 2.188 -2.216 6.297 2.188 2.216 -6.297" Properties=species:S:1:pos:R:3 pbc="T T T"
Sr 0.000 0.000 0.000
Ga 2.188 0.000 2.976
Ag 0.000 0.000 7.671
Ag 0.000 2.216 3.080
Hg 0.000 0.000 4.865
```

---

The energy of each structure relative to the most stable one, in eV/atom, is as follows: entry 1 0.107; entry 2 0.000.

---

Entry 1
Below is a geometry-optimized HoGa3Ag3 structure, with properties calculated at the PBE-GGA level.

Results
- SG: R-3, No. 148
- ρ: 7.94 g/cm³

Cell and atoms, written as extended XYZ:
```
14
Lattice="3.998 2.308 5.268 -3.998 2.308 5.268 0.000 -4.616 5.268" Properties=species:S:1:pos:R:3 pbc="T T T"
Ho 0.000 0.000 2.701
Ho 0.000 0.000 13.103
Ga -2.881 0.057 6.068
Ga -1.490 -2.467 9.736
Ga 1.391 -2.524 6.068
Ga -1.391 2.524 9.736
Ga 1.490 2.467 6.068
Ga 2.881 -0.057 9.736
Ag -1.114 -1.892 6.985
Ag -2.196 0.018 8.819
Ag -1.082 1.911 6.985
Ag 1.082 -1.911 8.819
Ag 2.196 -0.018 6.985
Ag 1.114 1.892 8.819
```

---

Entry 2
Below is a geometry-optimized HoGa3Ag3 structure, with properties calculated at the PBE-GGA level.

Results
- SG: Pm-3n, No. 223
- ρ: 6.68 g/cm³

Cell and atoms, written as extended XYZ:
```
14
Lattice="7.026 0.000 0.000 0.000 7.026 0.000 0.000 0.000 7.026" Properties=species:S:1:pos:R:3 pbc="T T T"
Ho 0.000 0.000 0.000
Ho 3.513 3.513 3.513
Ga 0.000 1.756 3.513
Ga 0.000 5.269 3.513
Ga 1.756 3.513 0.000
Ga 3.513 0.000 1.756
Ga 3.513 0.000 5.269
Ga 5.269 3.513 0.000
Ag 0.000 3.513 1.756
Ag 0.000 3.513 5.269
Ag 1.756 0.000 3.513
Ag 3.513 1.756 0.000
Ag 3.513 5.269 0.000
Ag 5.269 0.000 3.513
```

---

Entry 3
Below is a geometry-optimized HoGa3Ag3 structure, with properties calculated at the PBE-GGA level.

Results
- SG: P2_1/m, No. 11
- ρ: 8.75 g/cm³

Cell and atoms, written as extended XYZ:
```
14
Lattice="6.638 0.000 0.000 0.000 4.320 0.000 -2.531 0.000 9.231" Properties=species:S:1:pos:R:3 pbc="T T T"
Ho 1.284 1.080 1.043
Ho 2.823 3.240 8.188
Ga -0.800 3.240 8.290
Ga 1.712 3.240 3.561
Ga 0.775 1.080 7.792
Ga 3.333 3.240 1.439
Ga 2.396 1.080 5.670
Ga 4.908 1.080 0.941
Ag -1.799 1.080 6.860
Ag -0.211 1.080 4.182
Ag 0.527 3.240 5.965
Ag 3.580 1.080 3.266
Ag 4.318 3.240 5.049
Ag 5.906 3.240 2.371
```

---

The energy of each structure relative to the most stable one, in eV/atom, is as follows: entry 1 0.126; entry 2 0.542; entry 3 0.000.

---

Entry 1
Below is a geometry-optimized Ho5Ga2Ag structure, with properties calculated at the PBE-GGA level.

Results
- SG: I4/mmm, No. 139
- ρ: 9.08 g/cm³

Cell and atoms, written as extended XYZ:
```
8
Lattice="-3.385 3.385 4.278 3.385 -3.385 4.278 3.385 3.385 -4.278" Properties=species:S:1:pos:R:3 pbc="T T T"
Ho 0.000 0.000 0.000
Ho 1.693 1.693 -2.139
Ho 1.693 -1.693 2.139
Ho -1.693 1.693 2.139
Ho 1.693 1.693 2.139
Ga 3.385 0.000 0.000
Ga 0.000 3.385 0.000
Ag 0.000 0.000 4.278
```

---

Entry 2
Below is a geometry-optimized Ho5Ga2Ag structure, with properties calculated at the PBE-GGA level.

Results
- SG: I4/mcm, No. 140
- ρ: 8.65 g/cm³

Cell and atoms, written as extended XYZ:
```
16
Lattice="-3.747 3.747 7.332 3.747 -3.747 7.332 3.747 3.747 -7.332" Properties=species:S:1:pos:R:3 pbc="T T T"
Ho 0.000 0.000 0.000
Ho 5.011 1.264 -2.144
Ho 1.264 2.483 -2.144
Ho 5.011 1.264 2.144
Ho 1.264 2.483 2.144
Ho 0.000 0.000 7.332
Ho 2.483 1.264 5.188
Ho -1.264 2.483 5.188
Ho 2.483 1.264 9.476
Ho -1.264 2.483 9.476
Ga 2.829 0.918 0.000
Ga 2.829 -0.918 7.332
Ga 0.918 4.665 0.000
Ga 0.918 2.829 7.332
Ag 0.000 0.000 3.666
Ag 0.000 0.000 10.998
```

---

The energy of each structure relative to the most stable one, in eV/atom, is as follows: entry 1 0.134; entry 2 0.000.

---

Entry 1
Below is a geometry-optimized HoGaAg2 structure, with properties calculated at the PBE-GGA level.

Results
- SG: P4/mmm, No. 123
- ρ: 8.94 g/cm³

Cell and atoms, written as extended XYZ:
```
4
Lattice="3.666 0.000 0.000 0.000 3.666 0.000 0.000 0.000 6.227" Properties=species:S:1:pos:R:3 pbc="T T T"
Ho 0.000 0.000 0.000
Ga 0.000 0.000 3.114
Ag 1.833 1.833 1.621
Ag 1.833 1.833 4.606
```

---

Entry 2
Below is a geometry-optimized HoGaAg2 structure, with properties calculated at the PBE-GGA level.

Results
- SG: Pmmn, No. 59
- ρ: 9.31 g/cm³

Cell and atoms, written as extended XYZ:
```
8
Lattice="4.817 0.000 0.000 0.000 6.221 0.000 0.000 0.000 5.360" Properties=species:S:1:pos:R:3 pbc="T T T"
Ho 1.204 1.555 0.786
Ho 3.613 4.665 4.574
Ga 1.204 4.665 1.148
Ga 3.613 1.555 4.212
Ag 1.204 0.026 3.511
Ag 1.204 3.084 3.511
Ag 3.613 3.136 1.849
Ag 3.613 6.195 1.849
```

---

The energy of each structure relative to the most stable one, in eV/atom, is as follows: entry 1 0.144; entry 2 0.000.

---

Entry 1
Below is a geometry-optimized HoGaAg2 structure, with properties calculated at the PBE-GGA level.

Results
- SG: Fm-3m, No. 225
- ρ: 9.45 g/cm³

Cell and atoms, written as extended XYZ:
```
4
Lattice="0.000 3.408 3.408 3.408 0.000 3.408 3.408 3.408 0.000" Properties=species:S:1:pos:R:3 pbc="T T T"
Ho 0.000 0.000 0.000
Ga 3.408 3.408 3.408
Ag 1.704 1.704 1.704
Ag 5.112 5.112 5.112
```

---

Entry 2
Below is a geometry-optimized HoGaAg2 structure, with properties calculated at the PBE-GGA level.

Results
- SG: P4/mmm, No. 123
- ρ: 9.07 g/cm³

Cell and atoms, written as extended XYZ:
```
4
Lattice="4.354 0.000 0.000 0.000 4.354 0.000 0.000 0.000 4.350" Properties=species:S:1:pos:R:3 pbc="T T T"
Ho 0.000 0.000 0.000
Ga 2.177 2.177 0.000
Ag 0.000 2.177 2.175
Ag 2.177 0.000 2.175
```

---

The energy of each structure relative to the most stable one, in eV/atom, is as follows: entry 1 0.000; entry 2 0.084.

---

Entry 1
Below is a geometry-optimized Ho6Ga2Ag structure, with properties calculated at the PBE-GGA level.

Results
- SG: Immm, No. 71
- ρ: 8.64 g/cm³

Cell and atoms, written as extended XYZ:
```
18
Lattice="-4.775 4.834 5.150 4.775 -4.834 5.150 4.775 4.834 -5.150" Properties=species:S:1:pos:R:3 pbc="T T T"
Ho 4.775 -2.851 3.336
Ho 2.899 0.000 2.562
Ho 6.651 0.000 2.562
Ho 3.065 2.638 0.000
Ho 6.486 2.638 0.000
Ho 0.000 1.983 1.814
Ho 4.775 2.851 3.336
Ho -1.710 2.197 5.150
Ho 1.710 2.197 5.150
Ho -1.876 4.834 2.588
Ho 1.876 4.834 2.588
Ho 0.000 7.685 1.814
Ga 1.379 0.000 0.000
Ga 8.171 0.000 0.000
Ga 0.000 0.000 3.888
Ga 0.000 0.000 6.412
Ag 4.775 0.000 0.000
Ag 0.000 4.834 0.000
```

---

Entry 2
Below is a geometry-optimized Ho6Ga2Ag structure, with properties calculated at the PBE-GGA level.

Results
- SG: Immm, No. 71
- ρ: 7.97 g/cm³

Cell and atoms, written as extended XYZ:
```
9
Lattice="-2.453 3.515 7.469 2.453 -3.515 7.469 2.453 3.515 -7.469" Properties=species:S:1:pos:R:3 pbc="T T T"
Ho 2.453 1.766 -2.502
Ho 0.000 1.745 0.000
Ho 2.453 1.766 2.502
Ho 0.000 1.749 4.967
Ho 0.000 5.285 0.000
Ho 0.000 1.749 9.972
Ga 0.000 0.000 2.499
Ga 0.000 0.000 12.440
Ag 0.000 0.000 7.469
```

---

The energy of each structure relative to the most stable one, in eV/atom, is as follows: entry 1 0.000; entry 2 0.194.

---

Entry 1
Below is a geometry-optimized HoGa2Ag3 structure, with properties calculated at the PBE-GGA level.

Results
- SG: Immm, No. 71
- ρ: 8.74 g/cm³

Cell and atoms, written as extended XYZ:
```
12
Lattice="-2.193 3.991 6.816 2.193 -3.991 6.816 2.193 3.991 -6.816" Properties=species:S:1:pos:R:3 pbc="T T T"
Ho 0.000 0.000 1.810
Ho 0.000 0.000 11.823
Ga 2.193 1.231 0.000
Ga 2.193 0.000 4.178
Ga 0.000 3.991 2.638
Ga 0.000 2.760 6.816
Ag 2.193 2.395 -2.380
Ag 0.000 2.631 0.000
Ag 2.193 2.395 2.380
Ag 0.000 1.596 4.436
Ag 0.000 5.352 0.000
Ag 0.000 1.596 9.197
```

---

Entry 2
Below is a geometry-optimized HoGa2Ag3 structure, with properties calculated at the PBE-GGA level.

Results
- SG: C2/m, No. 12
- ρ: 8.99 g/cm³

Cell and atoms, written as extended XYZ:
```
12
Lattice="7.929 -2.220 0.000 7.929 2.220 0.000 -2.144 0.000 6.593" Properties=species:S:1:pos:R:3 pbc="T T T"
Ho 1.526 0.000 1.163
Ho 12.187 0.000 5.429
Ga 2.251 0.000 4.415
Ga 7.355 0.000 1.162
Ga 6.358 0.000 5.431
Ga 11.462 0.000 2.178
Ag -0.430 0.000 4.566
Ag 4.734 0.000 0.488
Ag 4.743 0.000 3.302
Ag 8.970 0.000 3.291
Ag 8.979 0.000 6.104
Ag 14.143 0.000 2.026
```

---

The energy of each structure relative to the most stable one, in eV/atom, is as follows: entry 1 0.040; entry 2 0.000.

---

Entry 1
Below is a geometry-optimized GaAg2I6 structure, with properties calculated at the PBE-GGA level.

Results
- SG: P2_1/c, No. 14
- ρ: 5.15 g/cm³

Cell and atoms, written as extended XYZ:
```
18
Lattice="7.229 0.000 0.000 0.000 7.737 0.000 -5.475 0.000 12.073" Properties=species:S:1:pos:R:3 pbc="T T T"
Ga 0.000 0.000 0.000
Ga -2.737 3.869 6.037
Ag -1.929 1.041 10.308
Ag 0.809 2.828 4.271
Ag 0.945 4.909 7.802
Ag 3.682 6.697 1.766
I -1.597 1.578 5.063
I -4.335 2.291 11.099
I -0.557 5.335 5.179
I -3.294 6.271 11.215
I 1.393 0.418 2.669
I -1.344 3.450 8.706
I 3.098 4.287 3.367
I 0.360 7.319 9.404
I 5.048 1.466 0.858
I 2.311 2.402 6.894
I 6.089 5.446 0.974
I 3.351 6.160 7.011
```

---

Entry 2
Below is a geometry-optimized GaAg2I6 structure, with properties calculated at the PBE-GGA level.

Results
- SG: C2/c, No. 15
- ρ: 4.38 g/cm³

Cell and atoms, written as extended XYZ:
```
18
Lattice="7.288 -8.419 0.000 7.288 8.419 0.000 -2.885 0.000 6.475" Properties=species:S:1:pos:R:3 pbc="T T T"
Ga 5.124 5.125 4.856
Ga 6.566 -5.125 1.619
Ag 2.785 1.423 3.197
Ag 1.342 -1.423 6.435
Ag 10.348 1.423 0.040
Ag 8.905 -1.423 3.278
I 1.264 1.802 0.811
I 4.453 3.758 2.762
I -0.179 -1.802 4.049
I 2.419 1.121 5.896
I 8.679 3.758 0.476
I 3.861 -1.121 2.659
I 7.828 1.121 3.816
I 3.011 -3.758 5.999
I 9.271 -1.121 0.579
I 11.869 1.802 2.426
I 7.236 -3.758 3.714
I 10.426 -1.802 5.664
```

---

The energy of each structure relative to the most stable one, in eV/atom, is as follows: entry 1 0.053; entry 2 0.000.

---

Entry 1
Below is a geometry-optimized Ga2AgI6 structure, with properties calculated at the PBE-GGA level.

Results
- SG: C2/c, No. 15
- ρ: 3.55 g/cm³

Cell and atoms, written as extended XYZ:
```
18
Lattice="8.464 -7.448 0.000 8.464 7.448 0.000 -1.115 0.000 7.494" Properties=species:S:1:pos:R:3 pbc="T T T"
Ga 6.402 6.246 5.502
Ga 8.854 6.246 5.739
Ga 6.959 -6.246 1.755
Ga 9.411 -6.246 1.992
Ag 7.628 0.011 5.620
Ag 8.185 -0.011 1.873
I 1.528 1.047 4.693
I 5.018 4.252 6.228
I 2.085 -1.047 0.946
I 10.237 4.252 5.013
I 5.916 0.041 3.451
I 5.358 -0.041 7.198
I 10.455 0.041 0.296
I 9.897 -0.041 4.043
I 5.576 -4.252 2.481
I 13.728 1.047 6.548
I 10.795 -4.252 1.266
I 14.285 -1.047 2.801
```

---

Entry 2
Below is a geometry-optimized Ga2AgI6 structure, with properties calculated at the PBE-GGA level.

Results
- SG: C2/c, No. 15
- ρ: 3.62 g/cm³

Cell and atoms, written as extended XYZ:
```
18
Lattice="7.987 -7.660 0.000 7.987 7.660 0.000 -4.319 0.000 7.558" Properties=species:S:1:pos:R:3 pbc="T T T"
Ga 2.043 1.336 2.164
Ga -0.116 -1.336 5.943
Ga 11.773 1.336 1.615
Ga 9.613 -1.336 5.394
Ag 4.748 2.922 5.669
Ag 6.908 -2.922 1.890
I 2.147 3.863 6.236
I 0.062 0.264 3.725
I -2.097 -0.264 7.504
I 4.391 1.216 3.305
I 7.350 3.863 5.101
I 2.232 -1.216 7.085
I 9.424 1.216 0.474
I 4.306 -3.863 2.457
I 7.265 -1.216 4.253
I 13.753 0.264 0.054
I 11.594 -0.264 3.833
I 9.510 -3.863 1.322
```

---

The energy of each structure relative to the most stable one, in eV/atom, is as follows: entry 1 0.032; entry 2 0.000.